Entry 1:
This record from Alexandria describes a geometry-optimized BaRhSe structure. The functional is PBE.

Lattice parameters (Å, degrees): 5.1646 5.1646 5.1646 60.00 60.00 60.00
Closest atoms and distances in Å follow each position.
Atoms (fractional coordinates):
1 Se 0.5000 0.5000 0.5000  4 Ba 3.16
2 Ba 0.2500 0.2500 0.2500  4 Se 3.16, 4 Rh 3.16
3 Rh 0.0000 0.0000 0.0000  4 Ba 3.16

The total energy is -4.11 eV/atom. Its relative energy among the computed polymorphs is 1097.5 meV/atom. As for the crystal system: cubic. The spin magnetization comes out at 1.04 μB per formula unit.

Entry 2:
This record from Alexandria describes a geometry-optimized BaRhSe4 structure. The functional is PBE.

Lattice parameters (Å, degrees): 5.8720 5.8720 5.8720 60.00 60.00 60.00
Closest atoms and distances in Å follow each position.
Atoms (fractional coordinates):
1 Rh 0.0000 0.0000 0.0000  12 Se 3.44, 4 Ba 3.60
2 Se 0.3734 0.8798 0.3734  6 Se 2.90-2.97
3 Se 0.8798 0.3734 0.3734  6 Se 2.90-2.97
4 Se 0.3734 0.3734 0.3734  6 Se 2.90-2.97
5 Se 0.3734 0.3734 0.8798  6 Se 2.90-2.97
6 Ba 0.7500 0.7500 0.7500  12 Se 3.45, 4 Rh 3.60

The total energy is -3.76 eV/atom. As for the crystal system: cubic. The spin magnetization comes out at 1.01 μB per formula unit.

Entry 3:
This record from Alexandria describes a geometry-optimized BaRhSe structure. The functional is PBE.

Lattice parameters (Å, degrees): 4.3970 3.7714 11.7230 90.00 90.00 125.66
Closest atoms and distances in Å follow each position.
Atoms (fractional coordinates):
1 Ba 0.6755 0.3509 0.6760  2 Rh 3.02, 2 Se 3.29
2 Ba 0.6755 0.3509 0.3240  2 Rh 3.02, 2 Se 3.29
3 Rh 0.6103 0.2207 0.0000  6 Se 2.52-2.79
4 Rh 0.1661 0.3322 0.5000  4 Ba 3.02
5 Se 0.2696 0.5393 0.8793  3 Rh 2.52-2.79
6 Se 0.2696 0.5393 0.1207  3 Rh 2.52-2.79

The total energy is -4.50 eV/atom. Its relative energy among the computed polymorphs is 706.0 meV/atom. As for the crystal system: orthorhombic. The spin magnetization comes out at 0.00 μB per formula unit.

Entry 4:
This record from Alexandria describes a geometry-optimized BaRh4Se structure. The functional is PBE.

Lattice parameters (Å, degrees): 5.4404 5.4404 5.4404 60.00 60.00 60.00
Closest atoms and distances in Å follow each position.
Atoms (fractional coordinates):
1 Rh 0.3765 0.3765 0.3765  6 Rh 2.69-2.75
2 Rh 0.3765 0.3765 0.8705  6 Rh 2.69-2.75
3 Rh 0.3765 0.8705 0.3765  6 Rh 2.69-2.75
4 Rh 0.8705 0.3765 0.3765  6 Rh 2.69-2.75
5 Se 0.7500 0.7500 0.7500  12 Rh 3.19, 4 Ba 3.33
6 Ba 0.0000 0.0000 0.0000  12 Rh 3.19, 4 Se 3.33

The total energy is -5.57 eV/atom. As for the crystal system: cubic. The spin magnetization comes out at 0.00 μB per formula unit.